No. 1
Density functional theory data (PBE) for Tb6ErAl after structural relaxation.

a b c (Å): 6.2674 6.2674 6.2674
angles (deg): 93.94 93.94 93.94
Fractional positions:
Tb1 0.0365 0.7612 0.5569
Tb2 0.2388 0.4431 0.9635
Tb3 0.4431 0.9635 0.2388
Tb4 0.5569 0.0365 0.7612
Tb5 0.7612 0.5569 0.0365
Tb6 0.9635 0.2388 0.4431
Er1 0.5000 0.5000 0.5000
Al1 0.0000 0.0000 0.0000

Computed properties:
* distance to the lowest polymorph of the same formula: 106.0 meV/atom
* crystal system: trigonal
* formation enthalpy at 0 K: 0.038 eV per atom
* volume: 244.4 Å³ per cell

=====

No. 2
Density functional theory data (PBE) for Ac2ThAs2S2 after structural relaxation.

a b c (Å): 8.4503 8.4503 8.4503
angles (deg): 141.04 141.04 56.27
Fractional positions:
Ac1 0.1270 0.1270 0.0000
Ac2 0.8730 0.8730 0.0000
Th1 0.5000 0.5000 0.0000
As1 0.0000 0.5000 0.5000
As2 0.5000 0.0000 0.5000
S1 0.3133 0.3133 0.0000
S2 0.6867 0.6867 0.0000

Computed properties:
* crystal system: tetragonal
* uncorrected formation energy: -1.3885 eV per atom
* volume: 236.7 Å³ per cell

=====

No. 3
Density functional theory data (PBE) for PmGdRuPt after structural relaxation.

a b c (Å): 4.9592 4.9592 4.9592
angles (deg): 60.00 60.00 60.00
Fractional positions:
Pm1 0.0000 0.0000 0.0000
Gd1 0.5000 0.5000 0.5000
Ru1 0.7500 0.7500 0.7500
Pt1 0.2500 0.2500 0.2500

Computed properties:
* crystal system: cubic
* formation enthalpy at 0 K: -0.653 eV per atom
* volume: 86.2 Å³ per cell

=====

No. 4
Density functional theory data (PBE) for Li3Sc2P3O12 after structural relaxation.

a b c (Å): 8.8880 8.9253 15.3223
angles (deg): 90.00 125.17 90.00
Fractional positions:
Li1 0.0096 0.2330 0.3163
Li2 0.0096 0.2670 0.8163
Li3 0.2306 0.0741 0.2855
Li4 0.2306 0.4259 0.7855
Li5 0.4039 0.2311 0.1811
Li6 0.4039 0.2689 0.6811
Li7 0.5961 0.7311 0.3189
Li8 0.5961 0.7689 0.8189
Li9 0.7694 0.5741 0.2145
Li10 0.7694 0.9259 0.7145
Li11 0.9904 0.7330 0.1837
Li12 0.9904 0.7670 0.6837
Sc1 0.1569 0.5436 0.3955
Sc2 0.1569 0.9564 0.8955
Sc3 0.3527 0.5474 0.1090
Sc4 0.3527 0.9526 0.6090
Sc5 0.6473 0.0474 0.3910
Sc6 0.6473 0.4526 0.8910
Sc7 0.8431 0.0436 0.1045
Sc8 0.8431 0.4564 0.6045
P1 0.0458 0.1088 0.6511
P2 0.0458 0.3912 0.1511
P3 0.2560 0.5949 0.6498
P4 0.2560 0.9051 0.1498
P5 0.4434 0.2424 0.4945
P6 0.4434 0.2576 0.9945
P7 0.5566 0.7424 0.0055
P8 0.5566 0.7576 0.5055
P9 0.7440 0.0949 0.8502
P10 0.7440 0.4051 0.3502
P11 0.9542 0.6088 0.8489
P12 0.9542 0.8912 0.3489
O1 0.0319 0.2325 0.1902
O2 0.0319 0.2675 0.6902
O3 0.0387 0.5156 0.2204
O4 0.0387 0.9844 0.7204
O5 0.0975 0.5908 0.6656
O6 0.0975 0.9092 0.1656
O7 0.1208 0.5874 0.9653
O8 0.1208 0.9126 0.4653
O9 0.1880 0.5553 0.5357
O10 0.1880 0.9447 0.0357
O11 0.2287 0.1004 0.6608
O12 0.2287 0.3996 0.1608
O13 0.2621 0.1690 0.9179
O14 0.2621 0.3310 0.4179
O15 0.3475 0.7486 0.1814
O16 0.3475 0.7514 0.6814
O17 0.3881 0.6544 0.4428
O18 0.3881 0.8456 0.9428
O19 0.3935 0.0280 0.2283
O20 0.3935 0.4720 0.7283
O21 0.4213 0.1597 0.5753
O22 0.4213 0.3403 0.0753
O23 0.4599 0.1321 0.4223
O24 0.4599 0.3679 0.9223
O25 0.5401 0.6321 0.0777
O26 0.5401 0.8679 0.5777
O27 0.5787 0.6597 0.9247
O28 0.5787 0.8403 0.4247
O29 0.6065 0.5280 0.2717
O30 0.6065 0.9720 0.7717
O31 0.6119 0.1544 0.0572
O32 0.6119 0.3456 0.5572
O33 0.6525 0.2486 0.3186
O34 0.6525 0.2514 0.8186
O35 0.7379 0.6690 0.5821
O36 0.7379 0.8310 0.0821
O37 0.7713 0.6004 0.8392
O38 0.7713 0.8996 0.3392
O39 0.8120 0.0553 0.9643
O40 0.8120 0.4447 0.4643
O41 0.8792 0.0874 0.5347
O42 0.8792 0.4126 0.0347
O43 0.9025 0.0908 0.8344
O44 0.9025 0.4092 0.3344
O45 0.9613 0.0156 0.2796
O46 0.9613 0.4844 0.7796
O47 0.9681 0.7325 0.3098
O48 0.9681 0.7675 0.8098

Computed properties:
* crystal system: monoclinic
* uncorrected formation energy: -2.7025 eV per atom
* volume: 993.6 Å³ per cell